No. 1
A plane-wave DFT calculation with GGA-PBE was carried out for La2InMoPt after structural relaxation.

a = 5.9307 Å, b = 4.8926 Å, c = 5.9307 Å
α = 90.00°, β = 90.00°, γ = 90.00°
Fractional positions:
Mo  0.5000  0.5000  0.5000
In  0.0000  0.0000  0.0000
Pt  0.0000  0.5000  0.0000
La  0.0000  0.0000  0.5000
La  0.5000  0.0000  0.0000

The magnetization comes out at 3.8 Bohr magnetons per cell. As for the formation energy: 0.97 eV per atom. For the density, the calculation gives 6.60 g/cm3.

No. 2
A plane-wave DFT calculation with GGA-PBE was carried out for LaScIn2Mo after structural relaxation.

a = 5.8192 Å, b = 4.8233 Å, c = 5.8192 Å
α = 90.00°, β = 90.00°, γ = 90.00°
Fractional positions:
Sc  0.5000  0.5000  0.5000
Mo  0.0000  0.5000  0.0000
In  0.0000  0.0000  0.5000
In  0.5000  0.0000  0.0000
La  0.0000  0.0000  0.0000

The magnetization comes out at 0.3 Bohr magnetons per cell. As for the formation energy: 1.25 eV per atom. For the density, the calculation gives 5.18 g/cm3. The energy above the most stable polymorph in this dataset comes out at 0 meV/atom.

No. 3
A plane-wave DFT calculation with GGA-PBE was carried out for LaScIn2Mo after structural relaxation.

a = 5.2756 Å, b = 5.3086 Å, c = 5.2756 Å
α = 90.00°, β = 90.00°, γ = 90.00°
Fractional positions:
Sc  0.0000  0.0000  0.0000
Mo  0.5000  0.5000  0.5000
In  0.0000  0.0000  0.5000
In  0.5000  0.0000  0.0000
La  0.0000  0.5000  0.0000

The magnetization comes out at 0.0 Bohr magnetons per cell. As for the formation energy: 1.41 eV per atom. For the density, the calculation gives 5.73 g/cm3. The energy above the most stable polymorph in this dataset comes out at 157 meV/atom.

No. 4
A plane-wave DFT calculation with GGA-PBE was carried out for LaTa2InMo after structural relaxation.

a = 5.0204 Å, b = 5.5983 Å, c = 5.0204 Å
α = 90.00°, β = 90.00°, γ = 90.00°
Fractional positions:
Mo  0.5000  0.5000  0.5000
La  0.0000  0.5000  0.0000
In  0.0000  0.0000  0.0000
Ta  0.0000  0.0000  0.5000
Ta  0.5000  0.0000  0.0000

The magnetization comes out at 0.0 Bohr magnetons per cell. As for the formation energy: 2.21 eV per atom. For the density, the calculation gives 8.37 g/cm3.